(1)
Entry from Alexandria via LeMat-Bulk: an optimized crystal structure of BaCa2Fe (PBE).

Output
The energy relative to the lowest polymorph listed for this composition is 185.1 meV per atom. The formation energy comes out at 0.570 eV/atom. As for the density of states at the Fermi level: 8.5 states/eV/f.u.

abc: 5.0408 5.0539 5.5252
angles: 90.00 90.00 90.00
Space group Pmmm (No. 47)
Inequivalent atoms, fractional coordinates:
Ba (0.0000, 0.0000, 0.0000) [1 per cell]
Ca (0.0000, 0.5000, 0.5000) [1 per cell]
Ca (0.5000, 0.0000, 0.5000) [1 per cell]
Fe (0.5000, 0.5000, 0.0000) [1 per cell]


(2)
Entry from Alexandria via LeMat-Bulk: an optimized crystal structure of AlTlRh (PBE).

Output
The energy relative to the lowest polymorph listed for this composition is 109.6 meV per atom. The formation energy comes out at -0.129 eV/atom. As for the density of states at the Fermi level: 1.8 states/eV/f.u.

abc: 6.2335 6.2335 6.2335
angles: 90.00 90.00 90.00
Space group F-43m (No. 216)
Inequivalent atoms, fractional coordinates:
Al (0.0000, 0.0000, 0.0000) [4 per cell]
Tl (0.0000, 0.0000, 0.5000) [4 per cell]
Rh (0.2500, 0.2500, 0.2500) [4 per cell]


(3)
Entry from Alexandria via LeMat-Bulk: an optimized crystal structure of K2Ag2O3 (PBE).

Output
The energy relative to the lowest polymorph listed for this composition is 0.0 meV per atom. As for the density of states at the Fermi level: 3.6 states/eV/f.u.

abc: 12.5025 3.8639 5.7707
angles: 90.00 101.19 90.00
Space group C2/m (No. 12)
Inequivalent atoms, fractional coordinates:
K (0.1420, 0.0000, 0.2156) [4 per cell]
Ag (0.0907, 0.5000, 0.7235) [4 per cell]
O (0.0000, 0.5000, 0.0000) [2 per cell]
O (0.1443, 0.0000, 0.6941) [4 per cell]


(4)
Entry from Alexandria via LeMat-Bulk: an optimized crystal structure of Mn2AlSe (PBE).

Output
The energy relative to the lowest polymorph listed for this composition is 71.5 meV per atom. As for the density of states at the Fermi level: 2.6 states/eV/f.u.

abc: 9.0648 3.0215 4.3433
angles: 90.00 103.83 90.00
Space group Cm (No. 8)
Inequivalent atoms, fractional coordinates:
Mn (0.0000, 0.0000, 0.0000) [2 per cell]
Mn (0.2131, 0.0000, 0.6330) [2 per cell]
Al (0.4751, 0.0000, 0.4932) [2 per cell]
Se (0.2269, 0.5000, 0.1171) [2 per cell]


(5)
Entry from Alexandria via LeMat-Bulk: an optimized crystal structure of V5Ge5Pd (PBE).

Output
The formation energy comes out at 0.139 eV/atom. As for the density of states at the Fermi level: 5.9 states/eV/f.u.

abc: 9.8527 4.9255 8.0439
angles: 90.00 116.78 90.00
Space group C2/m (No. 12)
Inequivalent atoms, fractional coordinates:
V (0.0000, 0.0000, 0.0000) [2 per cell]
V (0.1159, 0.5000, 0.2165) [4 per cell]
V (0.1595, 0.5000, 0.8538) [4 per cell]
Ge (0.0000, 0.5000, 0.5000) [2 per cell]
Ge (0.1465, 0.0000, 0.8276) [4 per cell]
Ge (0.2003, 0.0000, 0.3653) [4 per cell]
Pd (0.0000, 0.0000, 0.5000) [2 per cell]


(6)
Entry from Alexandria via LeMat-Bulk: an optimized crystal structure of CsNa2SCl (PBE).

Output
The energy relative to the lowest polymorph listed for this composition is 0.0 meV per atom. As for the density of states at the Fermi level: 0.0 states/eV/f.u.

abc: 4.6234 4.6234 14.8255
angles: 90.00 90.00 90.00
Space group I4mm (No. 107)
Inequivalent atoms, fractional coordinates:
Cs (0.0000, 0.0000, 0.0000) [2 per cell]
Na (0.0000, 0.5000, 0.2221) [4 per cell]
S (0.0000, 0.0000, 0.6262) [2 per cell]
Cl (0.0000, 0.0000, 0.3289) [2 per cell]


(7)
Entry from Alexandria via LeMat-Bulk: an optimized crystal structure of K2CoSe (PBE).

Output
Its energy is -2.90 eV per atom. As for the density of states at the Fermi level: 7.2 states/eV/f.u.

abc: 4.8430 4.8430 9.4528
angles: 90.00 90.00 90.00
Space group I-4m2 (No. 119)
Inequivalent atoms, fractional coordinates:
K (0.0000, 0.0000, 0.0000) [2 per cell]
K (0.0000, 0.5000, 0.2500) [2 per cell]
Co (0.0000, 0.0000, 0.5000) [2 per cell]
Se (0.0000, 0.5000, 0.7500) [2 per cell]


(8)
Entry from Alexandria via LeMat-Bulk: an optimized crystal structure of NaWS3 (PBE).

Output
The energy relative to the lowest polymorph listed for this composition is 0.0 meV per atom.

abc: 6.9893 6.2175 13.1308
angles: 90.00 114.57 90.00
Space group P2_1/c (No. 14)
Inequivalent atoms, fractional coordinates:
Na (0.2413, 0.2132, 0.3401) [4 per cell]
W (0.0821, 0.7089, 0.9913) [4 per cell]
S (0.0885, 0.5260, 0.6241) [4 per cell]
S (0.1840, 0.0204, 0.6487) [4 per cell]
S (0.3564, 0.7094, 0.9525) [4 per cell]


(9)
Entry from Alexandria via LeMat-Bulk: an optimized crystal structure of Na2Sr2Au (PBE).

Output
The energy relative to the lowest polymorph listed for this composition is 62.3 meV per atom. The formation energy comes out at -0.114 eV/atom. As for the density of states at the Fermi level: 3.0 states/eV/f.u.

abc: 8.3163 8.3163 6.2539
angles: 90.00 90.00 90.00
Space group P4/mbm (No. 127)
Inequivalent atoms, fractional coordinates:
Na (0.1498, 0.3502, 0.0000) [4 per cell]
Sr (0.1724, 0.6724, 0.5000) [4 per cell]
Au (0.0000, 0.0000, 0.5000) [2 per cell]


(10)
Entry from Alexandria via LeMat-Bulk: an optimized crystal structure of Ba2OF (PBE).

Output
The energy relative to the lowest polymorph listed for this composition is 0.0 meV per atom. As for the density of states at the Fermi level: 1.5 states/eV/f.u.

abc: 6.8244 3.9423 7.0309
angles: 90.00 108.98 90.00
Space group C2/m (No. 12)
Inequivalent atoms, fractional coordinates:
Ba (0.2432, 0.0000, 0.2297) [4 per cell]
O (0.0000, 0.5000, 0.0000) [2 per cell]
F (0.0000, 0.0000, 0.5000) [2 per cell]


(11)
Entry from Alexandria via LeMat-Bulk: an optimized crystal structure of CdGaBr2 (PBE).

Output
The energy relative to the lowest polymorph listed for this composition is 30.2 meV per atom. As for the density of states at the Fermi level: 5.2 states/eV/f.u.

abc: 7.5684 7.5684 7.5684
angles: 90.00 90.00 90.00
Space group Fm-3m (No. 225)
Inequivalent atoms, fractional coordinates:
Cd (0.0000, 0.0000, 0.0000) [4 per cell]
Ga (0.0000, 0.0000, 0.5000) [4 per cell]
Br (0.2500, 0.2500, 0.2500) [8 per cell]


(12)
Entry from Alexandria via LeMat-Bulk: an optimized crystal structure of Rb3Pr2SmO6 (PBE).

Output
Its energy is -6.46 eV per atom. As for the density of states at the Fermi level: 0.0 states/eV/f.u.

abc: 6.3640 11.0233 6.9460
angles: 90.00 107.78 90.00
Space group C2/m (No. 12)
Inequivalent atoms, fractional coordinates:
Rb (0.0000, 0.0000, 0.0000) [2 per cell]
Rb (0.0000, 0.3341, 0.0000) [4 per cell]
Pr (0.0000, 0.1667, 0.5000) [4 per cell]
Sm (0.0000, 0.5000, 0.5000) [2 per cell]
O (0.2242, 0.3362, 0.6810) [8 per cell]
O (0.2326, 0.0000, 0.6809) [4 per cell]